[1]
Below is a geometry-optimized PmGe3Te6 structure, with properties calculated at the PBE level.

Properties
The crystal system is monoclinic. Its total magnetic moment is 0.0 Bohr magnetons per cell. The density is 5.807 g cm⁻³. The calculation puts the energy at -82.25 eV/cell. The density of states at the Fermi level comes out at 0.235 states/eV per atom.

abc: 12.4875 4.1614 13.5229
angles: 90.00 113.30 90.00
Space group P2_1/m (No. 11)
Asymmetric unit:
Pm 0.0548 0.2500 0.2149
Ge 0.1965 0.2500 0.7049
Ge 0.3000 0.7500 0.0987
Ge 0.4937 0.7500 0.6482
Te 0.0326 0.7500 0.3853
Te 0.0964 0.2500 0.9805
Te 0.2302 0.7500 0.8433
Te 0.2655 0.7500 0.2848
Te 0.3247 0.2500 0.5829
Te 0.4649 0.2500 0.1387



[2]
Below is a geometry-optimized Pm5GeTe5 structure, with properties calculated at the PBE level.

Properties
The crystal system is monoclinic. Its total magnetic moment is 0.0 Bohr magnetons per cell. The density is 6.477 g cm⁻³. The calculation puts the energy at -118.61 eV/cell. The density of states at the Fermi level comes out at 0.229 states/eV per atom.

abc: 14.0454 6.2664 8.8248
angles: 90.00 108.59 90.00
Space group C2/m (No. 12)
Asymmetric unit:
Pm 0.0000 0.0000 0.0000
Pm 0.1573 0.5000 0.8382
Pm 0.1576 0.5000 0.3203
Ge 0.0000 0.5000 0.0000
Te 0.0000 0.5000 0.5000
Te 0.1645 0.0000 0.8267
Te 0.1702 0.0000 0.3358



[3]
Below is a geometry-optimized Pm8Ge3Te2 structure, with properties calculated at the PBE level.

Properties
The crystal system is monoclinic. Its total magnetic moment is 0.0 Bohr magnetons per cell. The density is 6.001 g cm⁻³. The calculation puts the energy at -134.63 eV/cell. The density of states at the Fermi level comes out at 1.007 states/eV per atom.

abc: 15.5441 8.3006 7.3675
angles: 90.00 108.06 90.00
Space group C2/m (No. 12)
Asymmetric unit:
Pm 0.0985 0.0000 0.3676
Pm 0.1059 0.2484 0.8996
Pm 0.1092 0.5000 0.4087
Ge 0.0000 0.2459 0.5000
Ge 0.0000 0.5000 0.0000
Te 0.2488 0.5000 0.8413



[4]
Below is a geometry-optimized Pm5GeTe4 structure, with properties calculated at the PBE level.

Properties
The crystal system is tetragonal. Its total magnetic moment is 0.0 Bohr magnetons per cell. Its relative energy among the computed polymorphs is 29.5 meV/atom. The density is 7.029 g cm⁻³. The calculation puts the energy at -108.65 eV/cell. The density of states at the Fermi level comes out at 0.445 states/eV per atom.

abc: 4.4009 4.4009 31.9109
angles: 90.00 90.00 90.00
Space group I4/mmm (No. 139)
Asymmetric unit:
Pm 0.0000 0.0000 0.0000
Pm 0.0000 0.0000 0.2074
Pm 0.0000 0.0000 0.4102
Ge 0.0000 0.0000 0.5000
Te 0.0000 0.0000 0.1027
Te 0.0000 0.0000 0.3066



[5]
Below is a geometry-optimized Pm6Ge5Te structure, with properties calculated at the PBE level.

Properties
The crystal system is monoclinic. Its total magnetic moment is 0.0 Bohr magnetons per cell. The density is 6.714 g cm⁻³. The calculation puts the energy at -129.84 eV/cell. The density of states at the Fermi level comes out at 0.767 states/eV per atom.

abc: 7.4443 12.9164 7.4334
angles: 90.00 109.66 90.00
Space group C2/m (No. 12)
Asymmetric unit:
Pm 0.2435 0.0000 0.2508
Pm 0.2442 0.1699 0.7427
Ge 0.0000 0.0000 0.5000
Ge 0.0000 0.1670 0.0000
Ge 0.0000 0.3399 0.5000
Te 0.0000 0.5000 0.0000



[6]
Below is a geometry-optimized PmGeTe2 structure, with properties calculated at the PBE level.

Properties
The crystal system is trigonal. Its total magnetic moment is 0.0 Bohr magnetons per cell. The density is 6.670 g cm⁻³. The calculation puts the energy at -54.58 eV/cell. The density of states at the Fermi level comes out at 0.650 states/eV per atom.

abc: 4.2406 4.2406 22.6768
angles: 90.00 90.00 120.00
Space group R-3m (No. 166, hexagonal axes)
Asymmetric unit:
Pm 0.0000 0.0000 0.0000
Ge 0.0000 0.0000 0.5000
Te 0.0000 0.0000 0.2422



- Number 4 is which compound?
  Pm5GeTe4



- Look up the energy of the third one.
  -134.63 eV/cell



- What is the formula in the third record?
  Pm8Ge3Te2



Repeat the sixth record exactly.
Below is a geometry-optimized PmGeTe2 structure, with properties calculated at the PBE level.

Properties
The crystal system is trigonal. Its total magnetic moment is 0.0 Bohr magnetons per cell. The density is 6.670 g cm⁻³. The calculation puts the energy at -54.58 eV/cell. The density of states at the Fermi level comes out at 0.650 states/eV per atom.

abc: 4.2406 4.2406 22.6768
angles: 90.00 90.00 120.00
Space group R-3m (No. 166, hexagonal axes)
Asymmetric unit:
Pm 0.0000 0.0000 0.0000
Ge 0.0000 0.0000 0.5000
Te 0.0000 0.0000 0.2422